(1)
{"formula": "ZrBeSeN2", "functional": "PBE", "state": "relaxed", "lattice_angstrom": [[4.043, 0.000, 0.000], [0.000, 4.043, 0.000], [0.000, 0.000, 5.805]], "species": ["Be", "Se", "Zr", "N", "N"], "fractional_positions": [[0.500, 0.500, 0.500], [0.000, 0.000, 0.500], [0.000, 0.000, 0.000], [0.000, 0.500, 0.000], [0.500, 0.000, 0.000]], "magnetic_moment_mub_per_fu": 0.221, "density_g_cm3": 3.63, "dos_ef_per_ev_fu": 2.6, "de_polymorph_kj_per_mol_atoms": 21.69}



(2)
{"formula": "Be2SiN", "functional": "PBE", "state": "relaxed", "lattice_angstrom": [[4.916, 0.000, 0.000], [0.000, 4.916, 0.000], [2.458, 2.458, 3.703]], "species": ["Be", "Be", "Be", "Be", "Si", "Si", "N", "N"], "fractional_positions": [[0.488, 0.125, 0.250], [0.262, 0.625, 0.250], [0.375, 0.512, 0.750], [0.875, 0.738, 0.750], [0.000, 0.000, 0.000], [0.750, 0.250, 0.500], [0.500, 0.500, 0.000], [0.250, 0.750, 0.500]], "magnetic_moment_mub_per_fu": 0.000, "density_g_cm3": 2.23, "dos_ef_per_ev_fu": 1.0, "de_polymorph_kj_per_mol_atoms": 0.00}



(3)
{"formula": "BeSi2N", "functional": "PBE", "state": "relaxed", "lattice_angstrom": [[4.753, 0.000, 0.000], [0.000, 4.753, 0.000], [2.377, 2.377, 4.545]], "species": ["Be", "Be", "Si", "Si", "Si", "Si", "N", "N"], "fractional_positions": [[0.500, 0.500, 0.000], [0.250, 0.750, 0.500], [0.673, 0.125, 0.250], [0.077, 0.625, 0.250], [0.375, 0.327, 0.750], [0.875, 0.923, 0.750], [0.000, 0.000, 0.000], [0.750, 0.250, 0.500]], "magnetic_moment_mub_per_fu": 0.000, "density_g_cm3": 2.56, "dos_ef_per_ev_fu": 2.0, "de_polymorph_kj_per_mol_atoms": 0.00}



(4)
{"formula": "BeSi2N", "functional": "PBE", "state": "relaxed", "lattice_angstrom": [[1.913, -2.526, -2.321], [-1.295, -3.689, -0.376], [-1.622, -1.177, -3.378]], "species": ["Be", "Si", "Si", "N"], "fractional_positions": [[0.000, 0.000, 0.000], [0.250, 0.250, 0.250], [0.750, 0.750, 0.750], [0.500, 0.500, 0.500]], "magnetic_moment_mub_per_fu": 0.000, "density_g_cm3": 3.07, "dos_ef_per_ev_fu": 2.4, "de_polymorph_kj_per_mol_atoms": 97.54}



(5)
{"formula": "BeSiN3", "functional": "PBE", "state": "relaxed", "lattice_angstrom": [[3.534, 0.000, 0.000], [0.000, 3.534, 0.000], [0.000, 0.000, 3.534]], "species": ["Be", "Si", "N", "N", "N"], "fractional_positions": [[0.500, 0.500, 0.500], [0.000, 0.000, 0.000], [0.000, 0.500, 0.000], [0.000, 0.000, 0.500], [0.500, 0.000, 0.000]], "magnetic_moment_mub_per_fu": 0.001, "density_g_cm3": 2.98, "dos_ef_per_ev_fu": 3.6}



(6)
{"formula": "Be3SiN", "functional": "PBE", "state": "relaxed", "lattice_angstrom": [[-2.238, -2.582, -1.047], [0.288, -1.550, 3.208], [-2.772, 1.925, 1.179]], "species": ["Be", "Be", "Be", "Si", "N"], "fractional_positions": [[0.000, 0.500, 0.000], [0.000, 0.000, 0.500], [0.500, 0.000, 0.000], [0.500, 0.500, 0.500], [0.000, 0.000, 0.000]], "magnetic_moment_mub_per_fu": 0.000, "density_g_cm3": 2.51, "dos_ef_per_ev_fu": 2.0, "de_polymorph_kj_per_mol_atoms": 0.00}



(7)
{"formula": "BeSiN3", "functional": "PBE", "state": "relaxed", "lattice_angstrom": [[-0.399, 3.403, 0.303], [-0.138, -0.321, 3.422], [3.414, 0.385, 0.173]], "species": ["Be", "Si", "N", "N", "N"], "fractional_positions": [[0.000, 0.000, 0.000], [0.500, 0.500, 0.500], [0.000, 0.500, 0.000], [0.000, 0.000, 0.500], [0.500, 0.000, 0.000]], "magnetic_moment_mub_per_fu": 0.000, "density_g_cm3": 3.23, "dos_ef_per_ev_fu": 4.3}



(8)
{"formula": "Be2SiN", "functional": "PBE", "state": "relaxed", "lattice_angstrom": [[0.000, 2.728, 2.728], [2.728, 0.000, 2.728], [2.728, 2.728, 0.000]], "species": ["Be", "Be", "Si", "N"], "fractional_positions": [[0.250, 0.250, 0.250], [0.750, 0.750, 0.750], [0.500, 0.500, 0.500], [0.000, 0.000, 0.000]], "magnetic_moment_mub_per_fu": 0.000, "density_g_cm3": 2.46, "dos_ef_per_ev_fu": 2.4, "de_polymorph_kj_per_mol_atoms": 128.45}



(9)
{"formula": "Be3SiN", "functional": "PBE", "state": "relaxed", "lattice_angstrom": [[-2.782, -1.647, 2.550], [0.976, -3.761, -1.364], [2.875, -0.317, 2.931]], "species": ["Be", "Be", "Be", "Si", "N"], "fractional_positions": [[0.000, 0.500, 0.000], [0.000, 0.000, 0.500], [0.500, 0.000, 0.000], [0.000, 0.000, 0.000], [0.500, 0.500, 0.500]], "magnetic_moment_mub_per_fu": 1.003, "density_g_cm3": 1.64, "dos_ef_per_ev_fu": 2.3, "de_polymorph_kj_per_mol_atoms": 148.80}



(10)
{"formula": "SmBe2SiN4", "functional": "PBE", "state": "relaxed", "lattice_angstrom": [[-0.086, -4.372, 2.043], [1.855, -3.833, -2.422], [2.839, -0.902, 3.890]], "species": ["Sm", "Be", "Be", "Si", "N", "N", "N", "N"], "fractional_positions": [[0.000, 0.000, 0.000], [0.500, 0.750, 0.250], [0.500, 0.250, 0.750], [0.000, 0.500, 0.500], [0.601, 0.545, 0.854], [0.399, 0.146, 0.455], [0.000, 0.455, 0.146], [0.000, 0.854, 0.545]], "magnetic_moment_mub_per_fu": 0.636, "density_g_cm3": 5.12, "dos_ef_per_ev_fu": 4.7}



(11)
{"formula": "Be2SiSnN", "functional": "PBE", "state": "relaxed", "lattice_angstrom": [[3.676, 0.000, 0.000], [0.000, 4.839, 0.000], [0.000, 0.000, 3.676]], "species": ["Be", "Be", "Si", "Sn", "N"], "fractional_positions": [[0.000, 0.000, 0.500], [0.500, 0.000, 0.000], [0.000, 0.500, 0.000], [0.500, 0.500, 0.500], [0.000, 0.000, 0.000]], "magnetic_moment_mub_per_fu": 0.000, "density_g_cm3": 4.54, "dos_ef_per_ev_fu": 1.1}



(12)
{"formula": "BeSiTe2N", "functional": "PBE", "state": "relaxed", "lattice_angstrom": [[-4.228, -0.805, 3.476], [-1.217, -4.741, -2.579], [1.983, -1.618, 2.038]], "species": ["Be", "Si", "Te", "Te", "N"], "fractional_positions": [[0.500, 0.500, 0.500], [0.000, 0.000, 0.000], [0.000, 0.500, 0.000], [0.500, 0.000, 0.000], [0.000, 0.000, 0.500]], "magnetic_moment_mub_per_fu": 0.000, "density_g_cm3": 5.08, "dos_ef_per_ev_fu": 1.6, "de_polymorph_kj_per_mol_atoms": 5.95}



(13)
{"formula": "BeSiTeN2", "functional": "PBE", "state": "relaxed", "lattice_angstrom": [[-1.751, -1.826, -2.355], [2.735, -2.069, -0.429], [-2.425, -4.264, 5.108]], "species": ["Be", "Si", "Te", "N", "N"], "fractional_positions": [[0.500, 0.500, 0.500], [0.000, 0.000, 0.000], [0.000, 0.000, 0.500], [0.000, 0.500, 0.000], [0.500, 0.000, 0.000]], "magnetic_moment_mub_per_fu": 0.000, "density_g_cm3": 3.78, "dos_ef_per_ev_fu": 1.3, "de_polymorph_kj_per_mol_atoms": 0.00}



(14)
{"formula": "BeSiTeN2", "functional": "PBE", "state": "relaxed", "lattice_angstrom": [[-2.613, -2.277, -1.132], [1.558, -2.717, 1.867], [-2.925, 1.243, 4.250]], "species": ["Be", "Si", "Te", "N", "N"], "fractional_positions": [[0.000, 0.000, 0.000], [0.500, 0.500, 0.500], [0.000, 0.000, 0.500], [0.000, 0.500, 0.000], [0.500, 0.000, 0.000]], "magnetic_moment_mub_per_fu": 0.486, "density_g_cm3": 4.54, "dos_ef_per_ev_fu": 3.9, "de_polymorph_kj_per_mol_atoms": 75.14}



(15)
{"formula": "BeSiTe2N", "functional": "PBE", "state": "relaxed", "lattice_angstrom": [[-2.995, 3.129, 3.504], [-3.044, -4.458, 1.379], [1.975, -0.648, 2.266]], "species": ["Be", "Si", "Te", "Te", "N"], "fractional_positions": [[0.000, 0.000, 0.000], [0.500, 0.500, 0.500], [0.000, 0.500, 0.000], [0.500, 0.000, 0.000], [0.000, 0.000, 0.500]], "magnetic_moment_mub_per_fu": 0.000, "density_g_cm3": 5.33, "dos_ef_per_ev_fu": 3.3, "de_polymorph_kj_per_mol_atoms": 0.00}



(16)
{"formula": "BeTlSiN2", "functional": "PBE", "state": "relaxed", "lattice_angstrom": [[3.517, 0.000, 0.000], [0.000, 5.712, 0.000], [0.000, 0.000, 3.517]], "species": ["Be", "Tl", "Si", "N", "N"], "fractional_positions": [[0.000, 0.500, 0.000], [0.500, 0.500, 0.500], [0.000, 0.000, 0.000], [0.000, 0.000, 0.500], [0.500, 0.000, 0.000]], "magnetic_moment_mub_per_fu": 0.000, "density_g_cm3": 6.33, "dos_ef_per_ev_fu": 2.2}



(17)
{"formula": "Be2TlSiN", "functional": "PBE", "state": "relaxed", "lattice_angstrom": [[-2.458, -0.606, 2.569], [-1.845, -4.507, -2.828], [2.361, -2.076, 1.769]], "species": ["Be", "Be", "Tl", "Si", "N"], "fractional_positions": [[0.000, 0.000, 0.500], [0.500, 0.000, 0.000], [0.000, 0.500, 0.000], [0.500, 0.500, 0.500], [0.000, 0.000, 0.000]], "magnetic_moment_mub_per_fu": 0.000, "density_g_cm3": 5.99, "dos_ef_per_ev_fu": 1.1}



(18)
{"formula": "Sm3BeN", "functional": "PBE", "state": "relaxed", "lattice_angstrom": [[-4.419, 0.620, -1.968], [0.871, -3.656, -3.107], [-1.870, -3.167, 3.202]], "species": ["Be", "Sm", "Sm", "Sm", "N"], "fractional_positions": [[0.500, 0.500, 0.500], [0.000, 0.500, 0.000], [0.000, 0.000, 0.500], [0.500, 0.000, 0.000], [0.000, 0.000, 0.000]], "magnetic_moment_mub_per_fu": 0.000, "density_g_cm3": 6.79, "dos_ef_per_ev_fu": 5.3}



(19)
{"formula": "SrSmBeN2", "functional": "PBE", "state": "relaxed", "lattice_angstrom": [[-2.047, 3.243, 3.636], [-4.365, -3.044, 0.257], [2.896, -3.731, 4.959]], "species": ["Sr", "Sr", "Sm", "Sm", "Be", "Be", "N", "N", "N", "N"], "fractional_positions": [[0.000, 0.500, 0.750], [0.000, 0.500, 0.250], [0.500, 0.000, 0.250], [0.500, 0.000, 0.750], [0.000, 0.000, 0.000], [0.000, 0.000, 0.500], [0.769, 0.822, 0.000], [0.769, 0.178, 0.500], [0.231, 0.822, 0.500], [0.231, 0.178, 0.000]], "magnetic_moment_mub_per_fu": 0.000, "density_g_cm3": 4.74, "dos_ef_per_ev_fu": 1.7}



(20)
{"formula": "SmTaBeN3", "functional": "PBE", "state": "relaxed", "lattice_angstrom": [[3.157, 0.000, 0.000], [0.000, 6.737, 0.732], [0.000, -2.495, 6.395]], "species": ["Sm", "Sm", "Ta", "Ta", "Be", "Be", "N", "N", "N", "N", "N", "N"], "fractional_positions": [[0.250, 0.193, 0.221], [0.750, 0.807, 0.779], [0.250, 0.662, 0.165], [0.750, 0.338, 0.835], [0.250, 0.081, 0.599], [0.750, 0.919, 0.401], [0.750, 0.880, 0.144], [0.250, 0.120, 0.856], [0.250, 0.825, 0.472], [0.750, 0.175, 0.528], [0.750, 0.446, 0.163], [0.250, 0.554, 0.837]], "magnetic_moment_mub_per_fu": 0.000, "density_g_cm3": 8.96, "dos_ef_per_ev_fu": 2.2}



(21)
{"formula": "TbSmBeN2", "functional": "PBE", "state": "relaxed", "lattice_angstrom": [[-3.015, 1.746, 3.604], [1.188, -4.025, 2.944], [5.029, 3.368, 2.574]], "species": ["Tb", "Tb", "Sm", "Sm", "Be", "Be", "N", "N", "N", "N"], "fractional_positions": [[0.500, 0.000, 0.250], [0.500, 0.000, 0.750], [0.000, 0.500, 0.750], [0.000, 0.500, 0.250], [0.000, 0.000, 0.000], [0.000, 0.000, 0.500], [0.772, 0.786, 0.000], [0.772, 0.214, 0.500], [0.228, 0.786, 0.500], [0.228, 0.214, 0.000]], "magnetic_moment_mub_per_fu": 0.152, "density_g_cm3": 6.81, "dos_ef_per_ev_fu": 3.2}



(22)
{"formula": "SmThBeN3", "functional": "PBE", "state": "relaxed", "lattice_angstrom": [[-2.396, 1.979, 1.483], [-4.241, -5.921, 1.050], [3.394, -0.374, 5.983]], "species": ["Sm", "Sm", "Th", "Th", "Be", "Be", "N", "N", "N", "N", "N", "N"], "fractional_positions": [[0.750, 0.844, 0.796], [0.250, 0.156, 0.204], [0.250, 0.646, 0.200], [0.750, 0.354, 0.800], [0.250, 0.071, 0.597], [0.750, 0.929, 0.403], [0.250, 0.852, 0.500], [0.750, 0.879, 0.155], [0.750, 0.404, 0.150], [0.750, 0.148, 0.500], [0.250, 0.596, 0.850], [0.250, 0.121, 0.845]], "magnetic_moment_mub_per_fu": 0.000, "density_g_cm3": 8.30}



(23)
{"formula": "SmTiBeN3", "functional": "PBE", "state": "relaxed", "lattice_angstrom": [[-3.124, 0.078, -0.062], [-0.153, -0.898, 6.557], [0.185, 6.723, -0.916]], "species": ["Sm", "Sm", "Ti", "Ti", "Be", "Be", "N", "N", "N", "N", "N", "N"], "fractional_positions": [[0.750, 0.800, 0.767], [0.250, 0.200, 0.233], [0.250, 0.667, 0.153], [0.750, 0.333, 0.847], [0.250, 0.089, 0.600], [0.750, 0.911, 0.400], [0.250, 0.820, 0.474], [0.750, 0.874, 0.142], [0.750, 0.448, 0.159], [0.750, 0.180, 0.526], [0.250, 0.552, 0.841], [0.250, 0.126, 0.858]], "magnetic_moment_mub_per_fu": 0.000, "density_g_cm3": 6.12, "dos_ef_per_ev_fu": 0.1}



(24)
{"formula": "SmZr2BeN4", "functional": "PBE", "state": "relaxed", "lattice_angstrom": [[-2.208, -2.029, 1.268], [4.519, -0.165, 3.426], [-4.135, 8.154, 5.848]], "species": ["Sm", "Sm", "Zr", "Zr", "Zr", "Zr", "Be", "Be", "N", "N", "N", "N", "N", "N", "N", "N"], "fractional_positions": [[0.102, 0.205, 0.750], [0.898, 0.795, 0.250], [0.369, 0.739, 0.551], [0.631, 0.261, 0.051], [0.631, 0.261, 0.449], [0.369, 0.739, 0.949], [0.826, 0.652, 0.750], [0.174, 0.348, 0.250], [0.268, 0.536, 0.123], [0.732, 0.464, 0.623], [0.732, 0.464, 0.877], [0.268, 0.536, 0.377], [0.000, 0.000, 0.500], [0.000, 0.000, 0.000], [0.421, 0.842, 0.750], [0.579, 0.158, 0.250]], "magnetic_moment_mub_per_fu": 0.000, "density_g_cm3": 6.88, "dos_ef_per_ev_fu": 1.4}



(25)
{"formula": "Be3SnN", "functional": "PBE", "state": "relaxed", "lattice_angstrom": [[3.781, 0.000, 0.000], [0.000, 3.781, 0.000], [0.000, 0.000, 3.781]], "species": ["Be", "Be", "Be", "Sn", "N"], "fractional_positions": [[0.000, 0.500, 0.000], [0.000, 0.000, 0.500], [0.500, 0.000, 0.000], [0.500, 0.500, 0.500], [0.000, 0.000, 0.000]], "magnetic_moment_mub_per_fu": 0.000, "density_g_cm3": 4.91, "dos_ef_per_ev_fu": 2.1, "de_polymorph_kj_per_mol_atoms": 0.00}



(26)
{"formula": "BeSnN", "functional": "PBE", "state": "relaxed", "lattice_angstrom": [[-0.335, -1.181, 2.845], [2.872, 0.916, 0.718], [-3.318, 8.107, 2.943]], "species": ["Sn", "Sn", "N", "N", "Be", "Be"], "fractional_positions": [[0.253, 0.750, 0.316], [0.747, 0.250, 0.684], [0.251, 0.750, 0.088], [0.749, 0.250, 0.912], [0.750, 0.750, 0.000], [0.250, 0.250, 0.000]], "magnetic_moment_mub_per_fu": 0.000, "density_g_cm3": 5.31, "dos_ef_per_ev_fu": 0.6}



no.,uncorrected formation energy (kJ per mole of atoms)
1,63.01
2,-11.72
3,16.35
4,113.89
5,90.47
6,2.58
7,150.50
8,116.73
9,151.37
10,-83.00
11,32.78
12,54.15
13,57.79
14,132.93
15,48.20
16,79.45
17,44.97
18,-41.21
19,-77.28
20,-116.53
21,-85.16
22,-128.24
23,-128.63
24,-145.72
25,22.32
26,-51.34